Zr2BeSnC | PBE | relaxed

Structure (extended XYZ):
```
5
Lattice="4.733 0.000 0.000 0.000 4.733 0.000 0.000 0.000 3.644" Properties=species:S:1:pos:R:3 pbc="T T T"
Zr 0.000 2.367 0.000
Zr 2.367 0.000 0.000
Be 0.000 0.000 1.822
Sn 2.367 2.367 1.822
C 0.000 0.000 0.000
```

DFT total energy = -7.146 eV per atom
DFT formation energy = -0.34 eV per atom